## MnFeTe2 (PBE-GGA)

Data for a relaxed MnFeTe2 crystal.

abc: 3.858 4.009 5.914
angles: 76.80 90.00 90.00
Each line ends with the local moment (μB).
Fractional positions:
Te1 0.000 0.022 0.007  0.05
Mn1 0.500 0.750 0.750  4.00
Te2 0.000 0.478 0.493  0.05
Fe1 0.500 0.250 0.250  2.79

Values from the calculation:
E_form (uncorrected): 0.43 eV per atom
SG: P2/m (10)
Total energy: -5.550 eV per atom
Volume: 89 Å³/cell